CoCClO2: relaxed, GGA+U.

Computed properties:
* uncorrected energy: -4.379 eV per atom
* M_tot: 2.47 Bohr magnetons per cell

```
CoCClO2
1.0
3.238 0.000 0.000
0.000 5.780 0.000
0.000 0.000 3.238
C Co O Cl
1 1 2 1
Direct
0.000 0.000 0.000
0.000 0.500 0.000
0.500 0.000 0.000
0.000 0.000 0.500
0.500 0.500 0.500
```